Entry 1:
Crystalline Tl2CuBiCl6 at its relaxed geometry, computed with PBE-GGA.

Properties
E_tot = -3.218 eV/atom
crystal system = cubic
theoretical density = 5.29 g cm⁻³
symmetry = Fm-3m (225)

```
data_Tl2CuBiCl6
_symmetry_space_group_name_H-M 'P 1'
_symmetry_Int_Tables_number 1
_cell_length_a 7.3470
_cell_length_b 7.3470
_cell_length_c 7.3470
_cell_angle_alpha 60.00
_cell_angle_beta 60.00
_cell_angle_gamma 60.00
loop_
_symmetry_equiv_pos_as_xyz
'x,y,z'
loop_
_atom_site_label
_atom_site_type_symbol
_atom_site_fract_x
_atom_site_fract_y
_atom_site_fract_z
Tl1 Tl 0.2500 0.2500 0.2500
Tl2 Tl 0.7500 0.7500 0.7500
Cu1 Cu 0.0000 0.0000 0.0000
Bi1 Bi 0.5000 0.5000 0.5000
Cl1 Cl 0.2382 0.2382 0.7618
Cl2 Cl 0.2382 0.7618 0.2382
Cl3 Cl 0.2382 0.7618 0.7618
Cl4 Cl 0.7618 0.2382 0.2382
Cl5 Cl 0.7618 0.2382 0.7618
Cl6 Cl 0.7618 0.7618 0.2382
```

Entry 2:
Crystalline DyBiCl6 at its relaxed geometry, computed with PBE-GGA.

Properties
E_tot = -4.094 eV/atom
crystal system = monoclinic
theoretical density = 3.87 g cm⁻³
symmetry = C2 (5)

```
data_DyBiCl6
_symmetry_space_group_name_H-M 'P 1'
_symmetry_Int_Tables_number 1
_cell_length_a 6.9226
_cell_length_b 6.9226
_cell_length_c 6.4709
_cell_angle_alpha 100.28
_cell_angle_beta 100.28
_cell_angle_gamma 120.01
loop_
_symmetry_equiv_pos_as_xyz
'x,y,z'
loop_
_atom_site_label
_atom_site_type_symbol
_atom_site_fract_x
_atom_site_fract_y
_atom_site_fract_z
Dy1 Dy 0.0000 0.0000 0.0000
Bi1 Bi 0.6679 0.3321 0.0000
Cl1 Cl 0.0686 0.3917 0.2472
Cl2 Cl 0.2440 0.2301 0.7566
Cl3 Cl 0.4064 0.0941 0.2448
Cl4 Cl 0.6083 0.9314 0.7528
Cl5 Cl 0.7699 0.7560 0.2434
Cl6 Cl 0.9059 0.5936 0.7552
```

Entry 3:
Crystalline DyBiS2Cl at its relaxed geometry, computed with PBE-GGA.

Properties
E_tot = -4.986 eV/atom
crystal system = orthorhombic
theoretical density = 5.74 g cm⁻³
symmetry = Pnma (62)

```
data_DyBiS2Cl
_symmetry_space_group_name_H-M 'P 1'
_symmetry_Int_Tables_number 1
_cell_length_a 10.5490
_cell_length_b 3.9548
_cell_length_c 13.0730
_cell_angle_alpha 90.00
_cell_angle_beta 90.00
_cell_angle_gamma 90.00
loop_
_symmetry_equiv_pos_as_xyz
'x,y,z'
loop_
_atom_site_label
_atom_site_type_symbol
_atom_site_fract_x
_atom_site_fract_y
_atom_site_fract_z
Dy1 Dy 0.0282 0.2500 0.2397
Dy2 Dy 0.4718 0.7500 0.7397
Dy3 Dy 0.5282 0.2500 0.2603
Dy4 Dy 0.9718 0.7500 0.7603
Bi1 Bi 0.1931 0.2500 0.9642
Bi2 Bi 0.3069 0.7500 0.4642
Bi3 Bi 0.6931 0.2500 0.5358
Bi4 Bi 0.8069 0.7500 0.0358
S1 S 0.1002 0.7500 0.1075
S2 S 0.2251 0.7500 0.8186
S3 S 0.2749 0.2500 0.3186
S4 S 0.3998 0.2500 0.6075
S5 S 0.6002 0.7500 0.3925
S6 S 0.7251 0.7500 0.6814
S7 S 0.7749 0.2500 0.1814
S8 S 0.8998 0.2500 0.8925
Cl1 Cl 0.0251 0.2500 0.6301
Cl2 Cl 0.4749 0.7500 0.1301
Cl3 Cl 0.5251 0.2500 0.8699
Cl4 Cl 0.9749 0.7500 0.3699
```

Entry 4:
Crystalline ErBiCl6 at its relaxed geometry, computed with PBE-GGA.

Properties
E_tot = -4.092 eV/atom
crystal system = monoclinic
theoretical density = 3.88 g cm⁻³
symmetry = C2 (5)

```
data_ErBiCl6
_symmetry_space_group_name_H-M 'P 1'
_symmetry_Int_Tables_number 1
_cell_length_a 6.8907
_cell_length_b 6.8907
_cell_length_c 6.5494
_cell_angle_alpha 100.10
_cell_angle_beta 100.10
_cell_angle_gamma 120.03
loop_
_symmetry_equiv_pos_as_xyz
'x,y,z'
loop_
_atom_site_label
_atom_site_type_symbol
_atom_site_fract_x
_atom_site_fract_y
_atom_site_fract_z
Er1 Er 0.0000 0.0000 0.0000
Bi1 Bi 0.3323 0.6677 0.0000
Cl1 Cl 0.0924 0.4017 0.2419
Cl2 Cl 0.2286 0.2414 0.7592
Cl3 Cl 0.3891 0.0688 0.2432
Cl4 Cl 0.5983 0.9076 0.7581
Cl5 Cl 0.7586 0.7714 0.2408
Cl6 Cl 0.9312 0.6109 0.7568
```

Question: Among the records above, which one has the lowest theoretical density?
Answer: DyBiCl6

Question: Which of these has the highest E_tot?
Answer: Tl2CuBiCl6

Repeat the second record exactly.
Crystalline DyBiCl6 at its relaxed geometry, computed with PBE-GGA.

Properties
E_tot = -4.094 eV/atom
crystal system = monoclinic
theoretical density = 3.87 g cm⁻³
symmetry = C2 (5)

```
data_DyBiCl6
_symmetry_space_group_name_H-M 'P 1'
_symmetry_Int_Tables_number 1
_cell_length_a 6.9226
_cell_length_b 6.9226
_cell_length_c 6.4709
_cell_angle_alpha 100.28
_cell_angle_beta 100.28
_cell_angle_gamma 120.01
loop_
_symmetry_equiv_pos_as_xyz
'x,y,z'
loop_
_atom_site_label
_atom_site_type_symbol
_atom_site_fract_x
_atom_site_fract_y
_atom_site_fract_z
Dy1 Dy 0.0000 0.0000 0.0000
Bi1 Bi 0.6679 0.3321 0.0000
Cl1 Cl 0.0686 0.3917 0.2472
Cl2 Cl 0.2440 0.2301 0.7566
Cl3 Cl 0.4064 0.0941 0.2448
Cl4 Cl 0.6083 0.9314 0.7528
Cl5 Cl 0.7699 0.7560 0.2434
Cl6 Cl 0.9059 0.5936 0.7552
```